Computed, not measured: a geometry-optimized PaPd6Au2 structure at the PBE-GGA level of DFT.

Cell lengths 5.619, 5.619, 7.060 Å; angles 66.55, 66.55, 60.00 degrees
Fractional positions:
Au1 0.582 0.582 0.255
Au2 0.747 0.747 0.760
Pd1 0.055 0.574 0.317
Pd2 0.055 0.055 0.317
Pd3 0.271 0.271 0.680
Pd4 0.574 0.055 0.317
Pd5 0.271 0.778 0.680
Pd6 0.778 0.271 0.680
Pa1 0.334 0.334 0.999

## Properties
The calculation puts the energy of formation from the pure elements at -0.272 eV/atom. The calculation puts the density at 12.24 g cm⁻³.